Version a
This record from the Alexandria database describes a relaxed structure of CeSmZr2. The functional is GGA-PBE.

Values from the calculation:
- ρ (kg/m³) = 7309
- magnetic moment (μB/f.u.) = 0.000

```
data_CeSmZr2
_chemical_formula_sum 'Ce1 Sm1 Zr2'
_cell_length_a 3.916
_cell_length_b 3.916
_cell_length_c 7.007
_cell_angle_alpha 90.00
_cell_angle_beta 90.00
_cell_angle_gamma 90.00
_space_group_name_H-M_alt 'P 1'
_space_group_IT_number 1
loop_
_space_group_symop_operation_xyz
'x,y,z'
loop_
_atom_site_label
_atom_site_fract_x
_atom_site_fract_y
_atom_site_fract_z
Ce1 0.000 0.000 0.000
Sm1 0.000 0.000 0.500
Zr1 0.500 0.500 0.212
Zr2 0.500 0.500 0.788
```



Version b
This record from the Alexandria database describes a relaxed structure of CeSmZr2. The functional is GGA-PBE.

Values from the calculation:
- ρ (kg/m³) = 7229
- magnetic moment (μB/f.u.) = 0.001

```
data_CeSmZr2
_chemical_formula_sum 'Ce1 Sm1 Zr2'
_cell_length_a 11.746
_cell_length_b 11.746
_cell_length_c 11.746
_cell_angle_alpha 16.10
_cell_angle_beta 16.10
_cell_angle_gamma 16.10
_space_group_name_H-M_alt 'P 1'
_space_group_IT_number 1
loop_
_space_group_symop_operation_xyz
'x,y,z'
loop_
_atom_site_label
_atom_site_fract_x
_atom_site_fract_y
_atom_site_fract_z
Ce1 0.000 0.000 0.000
Sm1 0.500 0.500 0.500
Zr1 0.409 0.409 0.409
Zr2 0.591 0.591 0.591
```



Q: Which of them is the least stable? A: version b.